Below is a relaxed structure of LiUIrRh, with properties calculated at the PBE-GGA level.

Structure (POSCAR):
```
LiUIrRh
1.0
4.573 0.000 0.000
2.287 3.961 0.000
2.287 1.320 3.734
Ir Li U Rh
1 1 1 1
Direct
0.250 0.250 0.250 Ir
0.000 0.000 0.000 Li
0.500 0.500 0.500 U
0.750 0.750 0.750 Rh
```

## Properties
* spin magnetization: 1.36 Bohr magnetons per cell
* SG: F-43m, No. 216
* DOS(E_F): 1.8741 states/eV/atom
* ΔH_f (0 K): -0.40 eV/atom

***

Below is a relaxed structure of LiIrRhW, with properties calculated at the PBE-GGA level.

Structure (POSCAR):
```
LiIrRhW
1.0
4.307 0.000 0.000
2.154 3.730 0.000
2.154 1.243 3.517
W Rh Li Ir
1 1 1 1
Direct
0.500 0.500 0.500 W
0.750 0.750 0.750 Rh
0.000 0.000 0.000 Li
0.250 0.250 0.250 Ir
```

## Properties
* spin magnetization: 0.00 Bohr magnetons per cell
* SG: F-43m, No. 216
* DOS(E_F): 0.7412 states/eV/atom
* ΔH_f (0 K): -0.21 eV/atom

***

Below is a relaxed structure of LiYIrRh2, with properties calculated at the PBE-GGA level.

Structure (POSCAR):
```
LiYIrRh2
1.0
-3.992 1.618 2.128
0.912 -2.405 3.540
2.478 3.673 1.857
Rh Ir Y Li
2 1 1 1
Direct
0.500 0.000 0.000 Rh
0.000 0.000 0.500 Rh
0.000 0.000 0.000 Ir
0.500 0.500 0.500 Y
0.000 0.500 0.000 Li
```

## Properties
* spin magnetization: 0.00 Bohr magnetons per cell
* SG: P4/mmm, No. 123
* DOS(E_F): 0.9383 states/eV/atom
* ΔH_f (0 K): 0.21 eV/atom

***

Below is a relaxed structure of LiZrIrRh, with properties calculated at the PBE-GGA level.

Structure (POSCAR):
```
LiZrIrRh
1.0
4.452 0.000 0.000
2.226 3.855 0.000
2.226 1.285 3.635
Ir Rh Zr Li
1 1 1 1
Direct
0.000 0.000 0.000 Ir
0.500 0.500 0.500 Rh
0.250 0.250 0.250 Zr
0.750 0.750 0.750 Li
```

## Properties
* spin magnetization: 0.00 Bohr magnetons per cell
* SG: F-43m, No. 216
* DOS(E_F): 0.2714 states/eV/atom
* ΔH_f (0 K): -0.61 eV/atom

***

Below is a relaxed structure of LiIrRu2, with properties calculated at the PBE-GGA level.

Structure (POSCAR):
```
LiIrRu2
1.0
4.033 0.000 0.000
0.000 2.670 0.000
0.000 1.515 4.969
Ru Ir Li
2 1 1
Direct
0.000 0.915 0.987 Ru
0.000 0.585 0.513 Ru
0.500 0.250 0.250 Ir
0.500 0.750 0.750 Li
```

## Properties
* spin magnetization: 0.00 Bohr magnetons per cell
* SG: P2/m, No. 10
* DOS(E_F): 1.0023 states/eV/atom
* ΔH_f (0 K): 0.14 eV/atom
* polymorph energy (0 for the lowest one): 58 meV/atom

***

Below is a relaxed structure of LiIrRu2, with properties calculated at the PBE-GGA level.

Structure (POSCAR):
```
LiIrRu2
1.0
-3.854 1.913 -2.460
-0.700 -1.654 -4.620
0.242 -1.168 4.811
Ru Ir Li
2 1 1
Direct
0.753 0.253 0.500 Ru
0.014 0.014 0.000 Ru
0.484 0.484 0.000 Ir
0.249 0.749 0.500 Li
```

## Properties
* spin magnetization: 0.00 Bohr magnetons per cell
* SG: Imm2, No. 44
* DOS(E_F): 0.9075 states/eV/atom
* ΔH_f (0 K): 0.15 eV/atom
* polymorph energy (0 for the lowest one): 65 meV/atom

***

Below is a relaxed structure of LiIrRu2, with properties calculated at the PBE-GGA level.

Structure (POSCAR):
```
LiIrRu2
1.0
9.160 -0.002 -0.001
8.762 2.671 -0.001
8.762 1.305 2.330
Li Ir Ru
1 1 2
Direct
0.750 0.750 0.750 Li
0.250 0.250 0.250 Ir
0.502 0.502 0.502 Ru
0.998 0.998 0.998 Ru
```

## Properties
* spin magnetization: 0.00 Bohr magnetons per cell
* SG: R-3m, No. 166
* DOS(E_F): 1.0924 states/eV/atom
* ΔH_f (0 K): 0.17 eV/atom
* polymorph energy (0 for the lowest one): 86 meV/atom

***

Below is a relaxed structure of LiIrRu2, with properties calculated at the PBE-GGA level.

Structure (POSCAR):
```
LiIrRu2
1.0
4.021 0.000 0.000
0.000 2.671 -0.038
0.000 1.399 4.952
Ru Li Ir
2 1 1
Direct
0.000 0.808 0.000 Ru
0.500 0.192 0.235 Ru
0.500 0.953 0.734 Li
0.000 0.547 0.530 Ir
```

## Properties
* spin magnetization: 0.00 Bohr magnetons per cell
* SG: Pm, No. 6
* DOS(E_F): 0.9888 states/eV/atom
* ΔH_f (0 K): 0.10 eV/atom
* polymorph energy (0 for the lowest one): 14 meV/atom

***

Below is a relaxed structure of LiIrRu2, with properties calculated at the PBE-GGA level.

Structure (POSCAR):
```
LiIrRu2
1.0
4.690 0.003 0.000
1.716 4.365 0.000
-3.203 -2.184 2.640
Ir Ru Li
1 2 1
Direct
0.500 0.500 0.000 Ir
0.250 0.750 0.500 Ru
0.000 0.000 0.000 Ru
0.750 0.250 0.500 Li
```

## Properties
* spin magnetization: 0.00 Bohr magnetons per cell
* SG: I-4m2, No. 119
* DOS(E_F): 1.3772 states/eV/atom
* ΔH_f (0 K): 0.15 eV/atom
* polymorph energy (0 for the lowest one): 65 meV/atom

***

Below is a relaxed structure of LiIrRu2, with properties calculated at the PBE-GGA level.

Structure (POSCAR):
```
LiIrRu2
1.0
-4.274 6.342 -4.814
-5.777 6.461 -2.558
-3.473 7.883 -2.730
Ir Ru Li
1 2 1
Direct
0.501 0.501 0.501 Ir
0.996 0.996 0.996 Ru
0.251 0.251 0.251 Ru
0.751 0.751 0.751 Li
```

## Properties
* spin magnetization: 0.01 Bohr magnetons per cell
* SG: R3m, No. 160
* DOS(E_F): 1.5090 states/eV/atom
* ΔH_f (0 K): 0.10 eV/atom
* polymorph energy (0 for the lowest one): 20 meV/atom

***

Below is a relaxed structure of LiIr3Ru, with properties calculated at the PBE-GGA level.

Structure (POSCAR):
```
LiIr3Ru
1.0
-2.845 1.103 2.722
-2.931 -0.837 -2.725
-0.178 -3.847 1.373
Ir Li Ru
3 1 1
Direct
0.000 0.000 0.500 Ir
0.000 0.500 0.000 Ir
0.500 0.000 0.000 Ir
0.000 0.000 0.000 Li
0.500 0.500 0.500 Ru
```

## Properties
* spin magnetization: 0.00 Bohr magnetons per cell
* SG: Pm-3m, No. 221
* DOS(E_F): 1.0871 states/eV/atom
* ΔH_f (0 K): 0.94 eV/atom
* polymorph energy (0 for the lowest one): 0 meV/atom

***

Below is a relaxed structure of LiIrRu2, with properties calculated at the PBE-GGA level.

Structure (POSCAR):
```
LiIrRu2
1.0
4.648 -0.003 -0.001
3.871 2.573 -0.001
0.604 0.182 4.564
Ir Ru Li
1 2 1
Direct
0.750 0.750 0.750 Ir
0.009 0.009 0.004 Ru
0.491 0.491 0.496 Ru
0.250 0.250 0.250 Li
```

## Properties
* spin magnetization: 0.00 Bohr magnetons per cell
* SG: C2/m, No. 12
* DOS(E_F): 1.1148 states/eV/atom
* ΔH_f (0 K): 0.09 eV/atom
* polymorph energy (0 for the lowest one): 3 meV/atom